(1)
An optimized crystal structure of Al2CrTe, computed with PBE.

## Properties
Total magnetization in μB per cell: 1.53
Total energy in eV/atom: -4.843

Cell: 3.4222 3.4222 5.9494 Å, 90.00 90.00 90.00°
Closest atoms and distances in Å follow each position.
Space group P4/mmm (No. 123)
Unique sites:
Al 0.0000 0.0000 0.2131 x2  1 Al 2.54, 4 Cr 2.73
Cr 0.5000 0.5000 0.0000 x1  8 Al 2.73, 2 Te 2.97
Te 0.5000 0.5000 0.5000 x1  8 Al 2.96, 2 Cr 2.97

(2)
An optimized crystal structure of Si2TcSb, computed with PBE.

## Properties
Total magnetization in μB per cell: 0.00
Total energy in eV/atom: -5.868

Cell: 5.7339 5.7339 11.6853 Å, 90.00 90.00 90.00°
Closest atoms and distances in Å follow each position.
Space group I-42d (No. 122)
Unique sites:
Si 0.1992 0.2500 0.1250 x8  2 Tc 2.34
Tc 0.0000 0.0000 0.0000 x4  4 Si 2.34
Sb 0.0000 0.0000 0.5000 x4  4 Si 2.68

(3)
An optimized crystal structure of Hf2ScRu, computed with PBE.

## Properties
Energy above the lowest structure with this stoichiometry in meV/atom: 0.0
Total magnetization in μB per cell: 0.00
Total energy in eV/atom: -9.147

Cell: 3.2657 3.2657 7.5029 Å, 90.00 90.00 90.00°
Closest atoms and distances in Å follow each position.
Space group P4/mmm (No. 123)
Unique sites:
Hf 0.0000 0.0000 0.2129 x2  4 Ru 2.81
Sc 0.5000 0.5000 0.5000 x1  8 Hf 3.16, 4 Sc 3.27
Ru 0.5000 0.5000 0.0000 x1  8 Hf 2.81

(4)
An optimized crystal structure of Dy2YSc, computed with PBE.

## Properties
Energy above the lowest structure with this stoichiometry in meV/atom: 10.9
Total magnetization in μB per cell: 0.00
Total energy in eV/atom: -5.455

Cell: 4.9254 4.9254 4.9139 Å, 90.00 90.00 90.00°
Closest atoms and distances in Å follow each position.
Space group P4/mmm (No. 123)
Unique sites:
Dy 0.0000 0.5000 0.0000 x2  4 Sc 3.48, 4 Y 3.48, 4 Dy 3.48
Y 0.0000 0.0000 0.5000 x1  8 Dy 3.48, 4 Sc 3.48
Sc 0.5000 0.5000 0.5000 x1  8 Dy 3.48, 4 Y 3.48

(5)
An optimized crystal structure of NaNd5Mg4, computed with PBE.

## Properties
Total magnetization in μB per cell: 0.00
Total energy in eV/atom: -3.185

Cell: 3.8928 3.8928 20.1588 Å, 90.00 90.00 90.00°
Closest atoms and distances in Å follow each position.
Space group P4/mmm (No. 123)
Unique sites:
Na 0.0000 0.0000 0.0000 x1  8 Nd 3.64, 4 Na 3.89
Nd 0.5000 0.5000 0.1185 x2  4 Mg 3.33, 4 Na 3.64
Nd 0.5000 0.5000 0.3064 x2  8 Mg 3.35-3.37
Nd 0.5000 0.5000 0.5000 x1  8 Mg 3.38
Mg 0.0000 0.0000 0.2117 x2  8 Nd 3.33-3.35
Mg 0.0000 0.0000 0.4030 x2  8 Nd 3.37-3.38

(6)
An optimized crystal structure of Ca2YHg, computed with PBE.

## Properties
Total magnetization in μB per cell: 0.00
Total energy in eV/atom: -2.841

Cell: 4.3535 5.1564 5.3893 Å, 90.00 90.00 90.00°
Closest atoms and distances in Å follow each position.
Space group Pmmm (No. 47)
Unique sites:
Ca 0.0000 0.0000 0.0000 x1  4 Ca 3.37, 4 Hg 3.46, 4 Y 3.73
Ca 0.5000 0.5000 0.0000 x1  4 Ca 3.37, 4 Y 3.46, 4 Hg 3.73
Y 0.0000 0.5000 0.5000 x1  4 Hg 3.37, 8 Ca 3.46-3.73
Hg 0.5000 0.0000 0.5000 x1  4 Y 3.37, 8 Ca 3.46-3.73